(1)
Density functional theory data (PBE) for a relaxed SiH14C4S2N8F6 crystal.

Calculated volume in A^3/atom: 10.86
Magnetization in μB/f.u.: 0.00
E in eV per atom: -5.8651

Unit cell a=6.9476 b=7.7201 c=7.9792 alpha=84.14 beta=83.98 gamma=63.45
With the nearest neighbours (Å) after each atom.
Element x y z (fractional)
Si: 0.0000 0.0000 0.0000  6 F 1.71-1.74
H: 0.0794 0.6422 0.8352  1 N 1.02
H: 0.1523 0.5423 0.6310  1 N 1.03
H: 0.1994 0.9962 0.4399  1 N 1.02
H: 0.2848 0.4668 0.0570  1 N 1.02
H: 0.2857 0.9224 0.6463  1 N 1.02
H: 0.3753 0.8572 0.2269  1 N 1.03
H: 0.4839 0.7520 0.9726  1 N 1.03
H: 0.5161 0.2480 0.0274  1 N 1.03
H: 0.6247 0.1428 0.7731  1 N 1.03
H: 0.7143 0.0776 0.3537  1 N 1.02
H: 0.7152 0.5332 0.9430  1 N 1.02
H: 0.8006 0.0038 0.5601  1 N 1.02
H: 0.8477 0.4577 0.3690  1 N 1.03
H: 0.9206 0.3578 0.1648  1 N 1.02
C: 0.3429 0.3825 0.8173  3 N 1.32-1.37
C: 0.4970 0.7619 0.4598  2 N 1.34-1.39
C: 0.5030 0.2381 0.5402  2 N 1.34-1.39
C: 0.6571 0.6175 0.1827  3 N 1.32-1.37
S: 0.3107 0.3866 0.4121  1 C 1.68
S: 0.6893 0.6134 0.5879  1 C 1.68
N: 0.1717 0.5324 0.7586  2 H 1.02-1.03
N: 0.3114 0.9031 0.5195  2 H 1.02
N: 0.3805 0.3589 0.9801  2 H 1.02-1.03
N: 0.4895 0.2435 0.7146  1 H 1.03
N: 0.5105 0.7565 0.2854  1 H 1.03
N: 0.6195 0.6411 0.0199  2 H 1.02-1.03
N: 0.6886 0.0969 0.4805  2 H 1.02
N: 0.8283 0.4676 0.2414  2 H 1.02-1.03
F: 0.0804 0.7597 0.0565  1 Si 1.71
F: 0.1108 0.0247 0.1763  1 Si 1.74, 1 H 1.77
F: 0.2425 0.9436 0.8842  1 Si 1.73, 2 H 1.82-1.90
F: 0.7575 0.0564 0.1158  1 Si 1.73, 2 H 1.82-1.90
F: 0.8892 0.9753 0.8237  1 Si 1.74, 1 H 1.77
F: 0.9196 0.2403 0.9435  1 Si 1.71

=====

(2)
Density functional theory data (PBE) for a relaxed SbH6CN3F4 crystal.

Calculated volume in A^3/atom: 11.77
Magnetization in μB/f.u.: 0.00
E in eV per atom: -5.4943

Unit cell a=5.1912 b=10.9574 c=12.4103 alpha=90.00 beta=90.00 gamma=90.00
With the nearest neighbours (Å) after each atom.
Element x y z (fractional)
Sb: 0.1710 0.1145 0.4479  4 F 1.97-2.14
Sb: 0.3290 0.8855 0.9479  4 F 1.97-2.14
Sb: 0.6710 0.3855 0.5521  4 F 1.97-2.14
Sb: 0.8290 0.6145 0.0521  4 F 1.97-2.14
H: 0.0220 0.2932 0.0591  1 N 1.02
H: 0.0560 0.5025 0.3241  1 N 1.02
H: 0.0879 0.2461 0.7235  1 N 1.02
H: 0.1471 0.1438 0.0651  1 N 1.02
H: 0.1877 0.1471 0.8249  1 N 1.02
H: 0.1971 0.4528 0.7377  1 N 1.02
H: 0.3029 0.5472 0.2377  1 N 1.02
H: 0.3123 0.8529 0.3249  1 N 1.02
H: 0.3529 0.8562 0.5651  1 N 1.02
H: 0.4121 0.7539 0.2235  1 N 1.02
H: 0.4440 0.4975 0.8241  1 N 1.02
H: 0.4780 0.7068 0.5591  1 N 1.02
H: 0.5220 0.2068 0.9409  1 N 1.02
H: 0.5560 0.9975 0.6759  1 N 1.02
H: 0.5879 0.2539 0.2765  1 N 1.02
H: 0.6471 0.3562 0.9349  1 N 1.02
H: 0.6877 0.3529 0.1751  1 N 1.02
H: 0.6971 0.0472 0.2623  1 N 1.02
H: 0.8029 0.9528 0.7623  1 N 1.02
H: 0.8123 0.6471 0.6751  1 N 1.02
H: 0.8529 0.6438 0.4349  1 N 1.02
H: 0.9121 0.7461 0.7765  1 N 1.02
H: 0.9440 0.0025 0.1759  1 N 1.02
H: 0.9780 0.7932 0.4409  1 N 1.02
C: 0.1472 0.6824 0.3290  3 N 1.33-1.36
C: 0.3528 0.3176 0.8290  3 N 1.33-1.36
C: 0.6472 0.8176 0.6710  3 N 1.33-1.36
C: 0.8528 0.1824 0.1710  3 N 1.33-1.36
N: 0.0186 0.2075 0.0920  2 H 1.02
N: 0.1436 0.5710 0.2816  2 H 1.02
N: 0.1871 0.2334 0.7940  2 H 1.02
N: 0.3129 0.7666 0.2940  2 H 1.02
N: 0.3564 0.4290 0.7816  2 H 1.02
N: 0.4814 0.7925 0.5920  2 H 1.02
N: 0.5186 0.2925 0.9080  2 H 1.02
N: 0.6436 0.9290 0.7184  2 H 1.02
N: 0.6871 0.2666 0.2060  2 H 1.02
N: 0.8129 0.7334 0.7060  2 H 1.02
N: 0.8564 0.0710 0.2184  2 H 1.02
N: 0.9814 0.7075 0.4080  2 H 1.02
F: 0.0646 0.7421 0.9084  1 H 1.82
F: 0.0701 0.9393 0.4983  2 H 1.82-1.92
F: 0.0826 0.9814 0.8543  2 H 1.87-1.93, 1 Sb 2.02
F: 0.0959 0.8986 0.0725  1 H 1.89, 1 Sb 1.97
F: 0.4041 0.1014 0.5725  1 H 1.89, 1 Sb 1.97
F: 0.4174 0.0186 0.3543  2 H 1.87-1.93, 1 Sb 2.02
F: 0.4299 0.0607 0.9983  2 H 1.82-1.92
F: 0.4354 0.2579 0.4084  1 H 1.82
F: 0.5646 0.7579 0.0916  1 H 1.82
F: 0.5701 0.5607 0.5017  2 H 1.82-1.92
F: 0.5826 0.5186 0.1457  2 H 1.87-1.93, 1 Sb 2.02
F: 0.5959 0.6014 0.9275  1 H 1.89, 1 Sb 1.97
F: 0.9041 0.3986 0.4275  1 H 1.89, 1 Sb 1.97
F: 0.9174 0.4814 0.6457  2 H 1.87-1.93, 1 Sb 2.02
F: 0.9299 0.4393 0.0017  2 H 1.82-1.92
F: 0.9354 0.2421 0.5916  1 H 1.82

=====

(3)
Density functional theory data (PBE) for a relaxed SiH12C2N2F6 crystal.

Distance to the lowest polymorph of the same formula in meV per atom: 0
Calculated volume in A^3/atom: 9.79
Magnetization in μB/f.u.: 0.06

Unit cell a=7.2271 b=9.5439 c=6.5277 alpha=90.00 beta=90.00 gamma=90.00
With the nearest neighbours (Å) after each atom.
Element x y z (fractional)
Si: 0.0000 0.0000 0.0000  6 F 1.72
Si: 0.5000 0.5000 0.5000  6 F 1.72
H: 0.0079 0.3535 0.3634  1 C 1.09
H: 0.0079 0.3535 0.6366  1 C 1.09
H: 0.1273 0.7734 0.5000  1 C 1.09
H: 0.1604 0.1253 0.3719  1 N 1.04
H: 0.1604 0.1253 0.6281  1 N 1.04
H: 0.2135 0.7454 0.0000  1 N 1.04
H: 0.2865 0.2454 0.5000  1 N 1.04
H: 0.3396 0.6253 0.1281  1 N 1.04
H: 0.3396 0.6253 0.8719  1 N 1.04
H: 0.3727 0.2734 0.0000  1 C 1.09
H: 0.4921 0.8535 0.1366  1 C 1.09
H: 0.4921 0.8535 0.8634  1 C 1.09
H: 0.5079 0.1465 0.1366  1 C 1.09
H: 0.5079 0.1465 0.8634  1 C 1.09
H: 0.6273 0.7266 0.0000  1 C 1.09
H: 0.6604 0.3747 0.1281  1 N 1.04
H: 0.6604 0.3747 0.8719  1 N 1.04
H: 0.7135 0.7546 0.5000  1 N 1.04
H: 0.7865 0.2546 0.0000  1 N 1.04
H: 0.8396 0.8747 0.3719  1 N 1.04
H: 0.8396 0.8747 0.6281  1 N 1.04
H: 0.8727 0.2266 0.5000  1 C 1.09
H: 0.9921 0.6465 0.3634  1 C 1.09
H: 0.9921 0.6465 0.6366  1 C 1.09
C: 0.0008 0.2876 0.5000  3 H 1.09
C: 0.4992 0.7876 0.0000  3 H 1.09
C: 0.5008 0.2124 0.0000  3 H 1.09
C: 0.9992 0.7124 0.5000  3 H 1.09
N: 0.1619 0.1904 0.5000  3 H 1.04
N: 0.3381 0.6904 0.0000  3 H 1.04
N: 0.6619 0.3096 0.0000  3 H 1.04
N: 0.8381 0.8096 0.5000  3 H 1.04
F: 0.0076 0.1803 0.0000  1 Si 1.72, 1 H 1.75
F: 0.1682 0.9951 0.1868  1 Si 1.72, 1 H 1.73
F: 0.1682 0.9951 0.8132  1 Si 1.72, 1 H 1.73
F: 0.3318 0.4951 0.3132  1 Si 1.72, 1 H 1.73
F: 0.3318 0.4951 0.6868  1 Si 1.72, 1 H 1.73
F: 0.4924 0.6803 0.5000  1 Si 1.72, 1 H 1.75
F: 0.5076 0.3197 0.5000  1 Si 1.72, 1 H 1.75
F: 0.6682 0.5049 0.3132  1 Si 1.72, 1 H 1.73
F: 0.6682 0.5049 0.6868  1 Si 1.72, 1 H 1.73
F: 0.8318 0.0049 0.1868  1 Si 1.72, 1 H 1.73
F: 0.8318 0.0049 0.8132  1 Si 1.72, 1 H 1.73
F: 0.9924 0.8197 0.0000  1 Si 1.72, 1 H 1.75